Entry 1:
# BeAs2P

Crystalline BeAs2P at its relaxed geometry (PBE-GGA, the Alexandria database).

Unit cell a=2.6823 b=3.4783 c=7.0187 alpha=90.00 beta=99.17 gamma=90.00
With the nearest neighbours (Å) after each atom.
Atoms (fractional coordinates):
Be 0.0000 0.0000 0.0000  4 As 2.42, 2 Be 2.68
As 0.1175 0.5000 0.7722  2 Be 2.42, 2 P 2.57, 2 As 2.68
As 0.8825 0.5000 0.2278  2 Be 2.42, 2 P 2.57, 2 As 2.68
P 0.0000 0.0000 0.5000  4 As 2.57, 2 P 2.68

## Properties
The value obtained for the spin magnetization is 0.0 μB/f.u. For the total energy, the calculation gives -4.2923 eV per atom. The calculation puts the density of states at the Fermi level at 0.3171 states/eV per atom. The energy relative to the elements is 316 meV/atom. As for the space group: P2/m.

---

Entry 2:
# BeAs3P

Crystalline BeAs3P at its relaxed geometry (PBE-GGA, the Alexandria database).

Unit cell a=4.4713 b=4.4713 c=4.4713 alpha=90.00 beta=90.00 gamma=90.00
With the nearest neighbours (Å) after each atom.
Atoms (fractional coordinates):
Be 0.0000 0.0000 0.0000  6 As 2.24
As 0.0000 0.0000 0.5000  2 Be 2.24
As 0.0000 0.5000 0.0000  2 Be 2.24
As 0.5000 0.0000 0.0000  2 Be 2.24
P 0.5000 0.5000 0.5000  12 As 3.16

## Properties
The value obtained for the spin magnetization is 0.0 μB/f.u. For the total energy, the calculation gives -3.8998 eV per atom. The calculation puts the density of states at the Fermi level at 0.7981 states/eV per atom. The energy relative to the elements is 717 meV/atom. As for the space group: Pm-3m.

---

Entry 3:
# Be2AsP

Crystalline Be2AsP at its relaxed geometry (PBE-GGA, the Alexandria database).

Unit cell a=2.6889 b=3.3990 c=6.9388 alpha=90.00 beta=90.00 gamma=90.00
With the nearest neighbours (Å) after each atom.
Atoms (fractional coordinates):
Be 0.0000 0.0000 0.0000  1 P 2.15
Be 0.5000 0.5000 0.1770  4 P 2.35, 1 As 2.42, 4 Be 2.49
As 0.5000 0.5000 0.8282  5 Be 2.42-2.47, 2 As 2.69
P 0.0000 0.0000 0.3092  5 Be 2.15-2.35

## Properties
The value obtained for the spin magnetization is 0.0 μB/f.u. For the total energy, the calculation gives -4.2683 eV per atom. The calculation puts the density of states at the Fermi level at 0.1642 states/eV per atom. The energy relative to the elements is 110 meV/atom. As for the space group: Pmm2.

---

Entry 4:
# BeAs2P

Crystalline BeAs2P at its relaxed geometry (PBE-GGA, the Alexandria database).

Unit cell a=3.6721 b=4.1218 c=6.0223 alpha=90.00 beta=90.10 gamma=90.00
With the nearest neighbours (Å) after each atom.
Atoms (fractional coordinates):
Be 0.0000 0.0000 0.0000  4 As 2.34-2.47
As 0.0009 0.5000 0.7753  2 P 2.40, 2 Be 2.47
As 0.5007 0.0000 0.2414  2 Be 2.34, 2 P 2.42
P 0.5011 0.5000 0.0322  4 As 2.40-2.42

## Properties
The value obtained for the spin magnetization is 0.0 μB/f.u. For the total energy, the calculation gives -4.3841 eV per atom. The calculation puts the density of states at the Fermi level at 0.1528 states/eV per atom. The energy relative to the elements is 225 meV/atom. As for the space group: Pm.

---

Entry 5:
# Be2AsP

Crystalline Be2AsP at its relaxed geometry (PBE-GGA, the Alexandria database).

Unit cell a=3.3426 b=3.3426 c=5.8082 alpha=106.29 beta=106.29 gamma=59.69
With the nearest neighbours (Å) after each atom.
Atoms (fractional coordinates):
Be 0.2339 0.2339 0.2052  3 P 2.23
Be 0.7661 0.7661 0.7948  3 P 2.23
As 0.0000 0.0000 0.5000  6 Be 2.50-2.52
P 0.5000 0.5000 0.0000  6 Be 2.23

## Properties
The value obtained for the spin magnetization is 0.0 μB/f.u. For the total energy, the calculation gives -4.2327 eV per atom. The calculation puts the density of states at the Fermi level at 0.2722 states/eV per atom. The energy relative to the elements is 145 meV/atom. As for the space group: C2/m.

---

Entry 6:
# BeAs3P

Crystalline BeAs3P at its relaxed geometry (PBE-GGA, the Alexandria database).

Unit cell a=4.7463 b=4.7463 c=4.7463 alpha=90.00 beta=90.00 gamma=90.00
With the nearest neighbours (Å) after each atom.
Atoms (fractional coordinates):
Be 0.0000 0.0000 0.0000  12 As 3.36
As 0.0000 0.5000 0.5000  2 P 2.37
As 0.5000 0.0000 0.5000  2 P 2.37
As 0.5000 0.5000 0.0000  2 P 2.37
P 0.5000 0.5000 0.5000  6 As 2.37

## Properties
The value obtained for the spin magnetization is 0.0 μB/f.u. For the total energy, the calculation gives -3.5289 eV per atom. The calculation puts the density of states at the Fermi level at 1.0993 states/eV per atom. The energy relative to the elements is 1088 meV/atom. As for the space group: Pm-3m.

---

Entry 7:
# BeAs2P

Crystalline BeAs2P at its relaxed geometry (PBE-GGA, the Alexandria database).

Unit cell a=2.8621 b=2.8621 c=8.6677 alpha=90.00 beta=90.00 gamma=90.00
With the nearest neighbours (Å) after each atom.
Atoms (fractional coordinates):
Be 0.0000 0.0000 0.0000  1 As 2.23, 4 P 2.25
As 0.0000 0.0000 0.2569  1 Be 2.23
As 0.5000 0.5000 0.6192  1 P 2.32
P 0.5000 0.5000 0.8873  4 Be 2.25, 1 As 2.32

## Properties
The value obtained for the spin magnetization is 0.0 μB/f.u. For the total energy, the calculation gives -4.4089 eV per atom. The calculation puts the density of states at the Fermi level at 0.4976 states/eV per atom. The energy relative to the elements is 200 meV/atom. As for the space group: P4mm.

---

Entry 8:
# Pu2Be2As2P

Crystalline Pu2Be2As2P at its relaxed geometry (PBE-GGA, the Alexandria database).

Unit cell a=5.9707 b=5.9707 c=6.9749 alpha=119.16 beta=119.16 gamma=37.25
With the nearest neighbours (Å) after each atom.
Atoms (fractional coordinates):
Pu 0.0515 0.0515 0.3152  2 P 2.74, 2 As 3.05
Pu 0.9485 0.9485 0.6848  2 P 2.74, 2 As 3.05
Be 0.2910 0.2910 0.9203  1 P 2.13, 2 As 2.33
Be 0.7090 0.7090 0.0797  1 P 2.13, 2 As 2.33
As 0.3182 0.3182 0.2873  3 Be 2.33-2.42
As 0.6818 0.6818 0.7127  3 Be 2.33-2.42
P 0.5000 0.5000 0.0000  2 Be 2.13

## Properties
The value obtained for the spin magnetization is 10.9 μB/f.u. For the total energy, the calculation gives -7.8836 eV per atom. The calculation puts the density of states at the Fermi level at 2.1899 states/eV per atom. The energy relative to the elements is -623 meV/atom. As for the space group: C2/m.

---

Entry 9:
# PuBe4AsP2

Crystalline PuBe4AsP2 at its relaxed geometry (PBE-GGA, the Alexandria database).

Unit cell a=3.5837 b=3.5837 c=8.8563 alpha=90.00 beta=90.00 gamma=90.00
With the nearest neighbours (Å) after each atom.
Atoms (fractional coordinates):
Pu 0.0000 0.0000 0.0000  8 P 3.01, 8 Be 3.35
Be 0.0000 0.5000 0.3194  2 P 2.16, 2 As 2.40
Be 0.0000 0.5000 0.6806  2 P 2.16, 2 As 2.40
Be 0.5000 0.0000 0.3194  2 P 2.16, 2 As 2.40
Be 0.5000 0.0000 0.6806  2 P 2.16, 2 As 2.40
As 0.0000 0.0000 0.5000  8 Be 2.40
P 0.5000 0.5000 0.1828  4 Be 2.16
P 0.5000 0.5000 0.8172  4 Be 2.16

## Properties
The value obtained for the spin magnetization is 6.0 μB/f.u. For the total energy, the calculation gives -5.8897 eV per atom. The calculation puts the density of states at the Fermi level at 0.9255 states/eV per atom. The energy relative to the elements is -301 meV/atom. As for the space group: P4/mmm.

---

Entry 10:
# RbBe2AsP

Crystalline RbBe2AsP at its relaxed geometry (PBE-GGA, the Alexandria database).

Unit cell a=7.6295 b=3.7412 c=7.6598 alpha=90.00 beta=101.48 gamma=90.00
With the nearest neighbours (Å) after each atom.
Atoms (fractional coordinates):
Rb 0.2346 0.2500 0.4382  3 P 3.34-3.36, 3 As 3.56-3.68, 3 Be 3.61-3.67
Rb 0.7654 0.7500 0.5618  3 P 3.34-3.36, 3 As 3.56-3.68, 3 Be 3.61-3.67
Be 0.1926 0.7500 0.0200  1 P 2.12, 2 As 2.27
Be 0.3983 0.2500 0.0272  3 P 2.19-2.23, 2 Be 2.44, 1 As 2.45
Be 0.6017 0.7500 0.9728  3 P 2.19-2.23, 2 Be 2.44, 1 As 2.45
Be 0.8074 0.2500 0.9800  1 P 2.12, 2 As 2.27
As 0.0866 0.2500 0.8673  4 Be 2.27-2.45
As 0.9134 0.7500 0.1327  4 Be 2.27-2.45
P 0.4498 0.7500 0.1876  4 Be 2.12-2.23
P 0.5502 0.2500 0.8124  4 Be 2.12-2.23

## Properties
The value obtained for the spin magnetization is 0.0 μB/f.u. For the total energy, the calculation gives -3.9892 eV per atom. The calculation puts the density of states at the Fermi level at 0.2246 states/eV per atom. The energy relative to the elements is -293 meV/atom. As for the space group: P2_1/m.

---

Entry 11:
# BeAsP2S

Crystalline BeAsP2S at its relaxed geometry (PBE-GGA, the Alexandria database).

Unit cell a=4.6512 b=4.6512 c=4.7923 alpha=90.00 beta=90.00 gamma=90.00
With the nearest neighbours (Å) after each atom.
Atoms (fractional coordinates):
Be 0.0000 0.0000 0.0000  4 S 3.29, 8 P 3.34
As 0.5000 0.5000 0.5000  4 P 2.33, 2 S 2.40
P 0.0000 0.5000 0.5000  2 As 2.33
P 0.5000 0.0000 0.5000  2 As 2.33
S 0.5000 0.5000 0.0000  2 As 2.40

## Properties
The value obtained for the spin magnetization is 0.0 μB/f.u. For the total energy, the calculation gives -3.3717 eV per atom. The value obtained for the uncorrected formation energy is 1.29 eV per atom. The calculation puts the density of states at the Fermi level at 0.9961 states/eV per atom. As for the space group: P4/mmm.

---

Entry 12:
# BeAsPS2

Crystalline BeAsPS2 at its relaxed geometry (PBE-GGA, the Alexandria database).

Unit cell a=4.6601 b=4.6601 c=4.7783 alpha=90.00 beta=90.00 gamma=90.00
With the nearest neighbours (Å) after each atom.
Atoms (fractional coordinates):
Be 0.0000 0.0000 0.0000  4 P 3.30, 8 S 3.34
As 0.5000 0.5000 0.5000  4 S 2.33, 2 P 2.39
P 0.5000 0.5000 0.0000  2 As 2.39
S 0.0000 0.5000 0.5000  2 As 2.33
S 0.5000 0.0000 0.5000  2 As 2.33

## Properties
The value obtained for the spin magnetization is 0.0 μB/f.u. For the total energy, the calculation gives -3.2790 eV per atom. The value obtained for the uncorrected formation energy is 1.13 eV per atom. The calculation puts the density of states at the Fermi level at 1.1494 states/eV per atom. As for the space group: P4/mmm.

---

Entry 13:
# BeAsP2S

Crystalline BeAsP2S at its relaxed geometry (PBE-GGA, the Alexandria database).

Unit cell a=4.2673 b=4.2673 c=4.3873 alpha=90.00 beta=90.00 gamma=90.00
With the nearest neighbours (Å) after each atom.
Atoms (fractional coordinates):
Be 0.0000 0.0000 0.0000  4 P 2.13, 2 S 2.19
As 0.5000 0.5000 0.5000  4 S 3.02, 8 P 3.06
P 0.0000 0.5000 0.0000  2 Be 2.13
P 0.5000 0.0000 0.0000  2 Be 2.13
S 0.0000 0.0000 0.5000  2 Be 2.19

## Properties
The value obtained for the spin magnetization is 0.0 μB/f.u. For the total energy, the calculation gives -4.0064 eV per atom. The value obtained for the uncorrected formation energy is 0.66 eV per atom. The calculation puts the density of states at the Fermi level at 0.7175 states/eV per atom. As for the space group: P4/mmm.

---

Entry 14:
# BeAsPS2

Crystalline BeAsPS2 at its relaxed geometry (PBE-GGA, the Alexandria database).

Unit cell a=4.2785 b=4.2785 c=4.3805 alpha=90.00 beta=90.00 gamma=90.00
With the nearest neighbours (Å) after each atom.
Atoms (fractional coordinates):
Be 0.0000 0.0000 0.0000  4 S 2.14, 2 P 2.19
As 0.5000 0.5000 0.5000  4 P 3.03, 8 S 3.06
P 0.0000 0.0000 0.5000  2 Be 2.19
S 0.0000 0.5000 0.0000  2 Be 2.14
S 0.5000 0.0000 0.0000  2 Be 2.14

## Properties
The value obtained for the spin magnetization is 0.0 μB/f.u. For the total energy, the calculation gives -3.8719 eV per atom. The value obtained for the uncorrected formation energy is 0.54 eV per atom. The calculation puts the density of states at the Fermi level at 0.6415 states/eV per atom. As for the space group: P4/mmm.